The following is a DFT calculation (GGA-PBE) of a relaxed structure of HfAu4.

```
HfAu4
1.0
5.186 0.000 0.000
0.000 5.186 0.000
0.000 0.000 5.186
Au Hf
4 1
direct
0.000 0.000 0.000 Au
0.500 0.000 0.500 Au
0.000 0.500 0.500 Au
0.500 0.500 0.000 Au
0.500 0.500 0.500 Hf
```

## Properties
* DOS(E_F): 3.4 states/eV per cell
* ΔH_f (0 K): 0.814 eV per atom
* space group: Pm-3m, No. 221
* total magnetic moment: 0.000 μB/atom